1.
Zr2SN2: PBEsol geometry, SCAN.

Cell: 3.5951 3.5951 12.7193 Å, 90.00 90.00 120.00°
Closest atoms and distances in Å follow each position.
Space group P6_3/mmc (No. 194)
Inequivalent atoms, fractional coordinates:
Zr 0.3333 0.6667 0.1028 [4 per cell]  4 N 2.12-2.18
S 0.0000 0.0000 0.2500 [2 per cell]  6 Zr 2.80, 6 N 3.11
N 0.3333 0.6667 0.5683 [4 per cell]  4 Zr 2.12-2.18

Values from the calculation:
The calculation puts the total magnetization at 0.00 Bohr magnetons per cell. The total energy comes out at -199.365 eV for the cell shown.

***

2.
CsTi3P5O19: PBEsol geometry, SCAN.

Cell: 9.3708 14.2272 6.3470 Å, 90.00 105.72 90.00°
Closest atoms and distances in Å follow each position.
Space group Cm (No. 8)
Inequivalent atoms, fractional coordinates:
Cs 0.0000 0.0000 0.0000 [2 per cell]  7 O 3.12-3.37
Ti 0.1663 0.5000 0.3203 [2 per cell]  6 O 1.93-1.94
Ti 0.2659 0.1233 0.6579 [4 per cell]  6 O 1.82-2.04
P 0.0692 0.5000 0.7793 [2 per cell]  4 O 1.54
P 0.3637 0.1459 0.2071 [4 per cell]  4 O 1.52-1.60
P 0.3995 0.3146 0.4762 [4 per cell]  4 O 1.51-1.61
O 0.0115 0.4052 0.2570 [4 per cell]  1 P 1.52
O 0.0601 0.1622 0.5895 [4 per cell]  1 P 1.52
O 0.1701 0.5000 0.0160 [2 per cell]  1 P 1.54
O 0.1729 0.5000 0.6278 [2 per cell]  1 P 1.54
O 0.2153 0.0000 0.6620 [2 per cell]  2 Ti 1.82
O 0.2621 0.1118 0.3431 [4 per cell]  1 P 1.53
O 0.2792 0.1439 0.9664 [4 per cell]  1 P 1.52
O 0.3171 0.4042 0.3805 [4 per cell]  1 P 1.53
O 0.3250 0.2584 0.6184 [4 per cell]  1 P 1.51
O 0.4017 0.2544 0.2621 [4 per cell]  2 P 1.60-1.61
O 0.4733 0.0894 0.7387 [4 per cell]  1 P 1.54

Values from the calculation:
For the density of states at the Fermi level, the calculation gives 0.000 states/eV/atom. The calculation puts the total magnetization at 0.00 Bohr magnetons per cell. The energy above the most stable polymorph in this dataset comes out at 0.0000 eV per atom.

***

Question: What is the formula in the second record?
Answer: CsTi3P5O19